1.
DFT (PBE) results for crystalline AgHgAsBr2 at its relaxed geometry.

a = 5.334 Å, b = 5.334 Å, c = 5.279 Å
α = 90.00°, β = 90.00°, γ = 90.00°
Space group P4/mmm (No. 123)
Symmetry-distinct sites (fractional):
1 Ag 0.000 0.000 0.000 (multiplicity 1)
2 Hg 0.500 0.500 0.500 (multiplicity 1)
3 As 0.000 0.000 0.500 (multiplicity 1)
4 Br 0.000 0.500 0.000 (multiplicity 2)

Results
Offset from the most stable computed form in kJ/mol of formula units: 0
V in Å³/cell: 150.2
Energy relative to the elements, uncorrected in eV/atom: 0.325
DOS at the Fermi energy in states/eV per cell: 3.80

---

2.
DFT (PBE) results for crystalline Ag2Hg4AsBr5 at its relaxed geometry.

a = 9.126 Å, b = 12.902 Å, c = 6.309 Å
α = 90.00°, β = 90.00°, γ = 90.00°
Space group Amm2 (No. 38)
Symmetry-distinct sites (fractional):
1 Ag 0.000 0.199 0.000 (multiplicity 4)
2 Hg 0.290 0.000 0.390 (multiplicity 4)
3 Hg 0.500 0.212 0.112 (multiplicity 4)
4 As 0.500 0.000 0.117 (multiplicity 2)
5 Br 0.000 0.000 0.176 (multiplicity 2)
6 Br 0.210 0.159 0.667 (multiplicity 8)

Results
V in Å³/cell: 742.8
Energy relative to the elements, uncorrected in eV/atom: -0.246

---

3.
DFT (PBE) results for crystalline AgHg4AsBr2 at its relaxed geometry.

a = 12.084 Å, b = 11.759 Å, c = 8.308 Å
α = 90.00°, β = 132.96°, γ = 90.00°
Space group C2/c (No. 15)
Symmetry-distinct sites (fractional):
1 Ag 0.000 0.000 0.000 (multiplicity 4)
2 Hg 0.002 0.242 0.039 (multiplicity 8)
3 Hg 0.227 0.011 0.476 (multiplicity 8)
4 As 0.250 0.250 0.500 (multiplicity 4)
5 Br 0.000 0.500 0.000 (multiplicity 4)
6 Br 0.250 0.250 0.000 (multiplicity 4)

Results
V in Å³/cell: 864.0
Energy relative to the elements, uncorrected in eV/atom: -0.022
DOS at the Fermi energy in states/eV per cell: 8.75

---

4.
DFT (PBE) results for crystalline Ag2HgAsBr6 at its relaxed geometry.

a = 7.274 Å, b = 7.285 Å, c = 7.809 Å
α = 62.58°, β = 62.69°, γ = 60.26°
Space group P1 (No. 1)
Symmetry-distinct sites (fractional):
1 Ag 0.000 0.000 0.000 (multiplicity 1)
2 Ag 0.443 0.442 0.679 (multiplicity 1)
3 Hg 0.755 0.755 0.739 (multiplicity 1)
4 As 0.244 0.245 0.270 (multiplicity 1)
5 Br 0.033 0.625 0.993 (multiplicity 1)
6 Br 0.178 0.480 0.476 (multiplicity 1)
7 Br 0.348 0.033 0.995 (multiplicity 1)
8 Br 0.479 0.876 0.480 (multiplicity 1)
9 Br 0.627 0.349 0.991 (multiplicity 1)
10 Br 0.875 0.175 0.478 (multiplicity 1)

Results
V in Å³/cell: 304.4
Energy relative to the elements, uncorrected in eV/atom: -0.280
DOS at the Fermi energy in states/eV per cell: 4.54

---

The lowest V belongs to which entry? AgHgAsBr2